The following is a DFT calculation (PBE-GGA) of a relaxed structure of CuTcGePt.

Computed properties:
Energy above the lowest structure with this stoichiometry (meV per atom): 0.0
V (Å³/cell): 58.20

```
CuTcGePt
1.0
0.048 -4.325 -0.460
-3.417 -2.362 1.290
-2.568 -1.902 -2.952
Tc Cu Ge Pt
1 1 1 1
direct
0.250 0.250 0.250
0.750 0.750 0.750
0.000 0.000 0.000
0.500 0.500 0.500
```

=====

The following is a DFT calculation (PBE-GGA) of a relaxed structure of BeSbMoAs.

Computed properties:
Energy above the lowest structure with this stoichiometry (meV per atom): 193.7
V (Å³/cell): 67.06

```
BeSbMoAs
1.0
0.000 3.225 3.225
3.225 0.000 3.225
3.225 3.225 0.000
As Sb Mo Be
1 1 1 1
direct
0.250 0.250 0.250
0.500 0.500 0.500
0.000 0.000 0.000
0.750 0.750 0.750
```